[1]
The following is a PBEsol calculation of YGeHAu2 after structural relaxation, from Alexandria via LeMat-Bulk.

a b c (Å): 4.1082 4.1082 4.7906
angles (deg): 90.00 90.00 90.00
Sites, in units of the cell vectors:
Au1 0.0000 0.5000 0.0000
Au2 0.5000 0.0000 0.0000
Y1 0.5000 0.5000 0.5000
Ge1 0.0000 0.0000 0.5000
H1 0.0000 0.0000 0.0000

## Properties
For the total energy, the calculation gives -24.19 eV for the cell shown.

---

[2]
The following is a PBEsol calculation of K2HgGeAu after structural relaxation, from Alexandria via LeMat-Bulk.

a b c (Å): 5.2508 6.0687 6.0687
angles (deg): 90.00 90.00 90.00
Sites, in units of the cell vectors:
Au1 0.0000 0.0000 0.0000
Hg1 0.5000 0.0000 0.0000
K1 0.0000 0.0000 0.5000
K2 0.0000 0.5000 0.0000
Ge1 0.5000 0.5000 0.5000

## Properties
For the total energy, the calculation gives -10.14 eV for the cell shown. Its formation energy is 1.55 eV/f.u.

---

[3]
The following is a PBEsol calculation of Hg2GeOsAu after structural relaxation, from Alexandria via LeMat-Bulk.

a b c (Å): 4.6070 5.1733 5.1733
angles (deg): 90.00 90.00 90.00
Sites, in units of the cell vectors:
Hg1 0.0000 0.5000 0.0000
Hg2 0.0000 0.0000 0.5000
Au1 0.5000 0.5000 0.5000
Ge1 0.5000 0.0000 0.0000
Os1 0.0000 0.0000 0.0000

## Properties
For the total energy, the calculation gives -18.21 eV for the cell shown. Its formation energy is 4.01 eV/f.u.

---

[4]
The following is a PBEsol calculation of HoGeAu after structural relaxation, from Alexandria via LeMat-Bulk.

a b c (Å): 4.4013 4.4013 7.1266
angles (deg): 90.00 90.00 120.00
Sites, in units of the cell vectors:
Au1 0.3333 0.6667 0.7072
Au2 0.6667 0.3333 0.2072
Ho1 0.0000 0.0000 0.4999
Ho2 0.0000 0.0000 0.9999
Ge1 0.3333 0.6667 0.2921
Ge2 0.6667 0.3333 0.7921

## Properties
For the total energy, the calculation gives -32.94 eV for the cell shown. Its formation energy is -2.66 eV/f.u.

---

[5]
The following is a PBEsol calculation of HoGeAu after structural relaxation, from Alexandria via LeMat-Bulk.

a b c (Å): 4.5304 4.5304 4.5304
angles (deg): 60.00 60.00 60.00
Sites, in units of the cell vectors:
Au1 0.7500 0.7500 0.7500
Ho1 0.5000 0.5000 0.5000
Ge1 0.0000 0.0000 0.0000

## Properties
For the total energy, the calculation gives -16.20 eV for the cell shown. Its formation energy is -2.39 eV/f.u.

---

[6]
The following is a PBEsol calculation of In2GeAu2 after structural relaxation, from Alexandria via LeMat-Bulk.

a b c (Å): 3.7986 3.7986 7.8990
angles (deg): 103.91 103.91 90.00
Sites, in units of the cell vectors:
In1 0.6018 0.6018 0.2036
In2 0.3982 0.3982 0.7964
Ge1 0.0000 0.0000 0.0000
Au1 0.7500 0.2500 0.5000
Au2 0.2500 0.7500 0.5000

## Properties
For the total energy, the calculation gives -18.47 eV for the cell shown. Its formation energy is 0.28 eV/f.u.

---

[7]
The following is a PBEsol calculation of In3GeAu after structural relaxation, from Alexandria via LeMat-Bulk.

a b c (Å): 5.1778 5.1778 5.1778
angles (deg): 90.00 90.00 90.00
Sites, in units of the cell vectors:
In1 0.0000 0.0000 0.5000
In2 0.0000 0.5000 0.0000
In3 0.5000 0.0000 0.0000
Ge1 0.0000 0.0000 0.0000
Au1 0.5000 0.5000 0.5000

## Properties
For the total energy, the calculation gives -15.22 eV for the cell shown. Its formation energy is 2.59 eV/f.u.

---

[8]
The following is a PBEsol calculation of K4Ge2Au7 after structural relaxation, from Alexandria via LeMat-Bulk.

a b c (Å): 6.4442 6.4442 10.0357
angles (deg): 71.27 71.27 60.00
Sites, in units of the cell vectors:
Au1 0.7773 0.7773 0.2403
Au2 0.0000 0.0000 0.0000
Au3 0.7773 0.2051 0.2403
Au4 0.2227 0.7949 0.7597
Au5 0.2227 0.2227 0.7597
Au6 0.7949 0.2227 0.7597
Au7 0.2051 0.7773 0.2403
K1 0.3169 0.3169 0.0494
K2 0.1893 0.1893 0.4320
K3 0.6831 0.6831 0.9506
K4 0.8107 0.8107 0.5680
Ge1 0.5448 0.5448 0.3656
Ge2 0.4552 0.4552 0.6344

## Properties
For the total energy, the calculation gives -45.58 eV for the cell shown. Its formation energy is -3.70 eV/f.u.

---

[9]
The following is a PBEsol calculation of K3Ge4Au after structural relaxation, from Alexandria via LeMat-Bulk.

a b c (Å): 6.0595 6.5441 11.9036
angles (deg): 90.00 90.00 90.00
Sites, in units of the cell vectors:
K1 0.5711 0.0000 0.0000
K2 0.1677 0.0000 0.2371
K3 0.1677 0.0000 0.7629
K4 0.4289 0.5000 0.5000
K5 0.8323 0.5000 0.2629
K6 0.8323 0.5000 0.7371
Ge1 0.9440 0.7900 0.5000
Ge2 0.0560 0.2900 0.0000
Ge3 0.3280 0.5000 0.1155
Ge4 0.6720 0.0000 0.6155
Ge5 0.3280 0.5000 0.8845
Ge6 0.6720 0.0000 0.3845
Ge7 0.0560 0.7100 0.0000
Ge8 0.9440 0.2100 0.5000
Au1 0.3094 0.0000 0.5000
Au2 0.6906 0.5000 0.0000

## Properties
For the total energy, the calculation gives -58.32 eV for the cell shown. Its formation energy is -2.08 eV/f.u.

---

[10]
The following is a PBEsol calculation of KGeAuS3 after structural relaxation, from Alexandria via LeMat-Bulk.

a b c (Å): 10.5732 10.9850 11.3715
angles (deg): 90.00 115.39 90.00
Sites, in units of the cell vectors:
Ge1 0.1078 0.9949 0.4427
Ge2 0.9163 0.5009 0.5826
Ge3 0.3922 0.4949 0.0573
Ge4 0.8922 0.0051 0.5573
Ge5 0.5837 0.0009 0.9174
Ge6 0.0837 0.4991 0.4174
Ge7 0.6078 0.5051 0.9427
Ge8 0.4163 0.9991 0.0826
S1 0.5081 0.1515 0.0084
S2 0.1564 0.1646 0.3637
S3 0.6564 0.3354 0.8637
S4 0.9696 0.4961 0.2025
S5 0.0081 0.3485 0.5084
S6 0.3168 0.4989 0.4973
S7 0.4696 0.0039 0.7025
S8 0.7885 0.1738 0.5771
S9 0.0304 0.5039 0.7975
S10 0.3436 0.6646 0.1363
S11 0.7115 0.6738 0.9229
S12 0.4919 0.8485 0.9916
S13 0.1832 0.9989 0.0027
S14 0.6294 0.4734 0.1475
S15 0.9919 0.6515 0.4916
S16 0.3706 0.5266 0.8525
S17 0.2885 0.3262 0.0771
S18 0.1294 0.0266 0.6475
S19 0.8706 0.9734 0.3525
S20 0.8436 0.8354 0.6363
S21 0.5304 0.9961 0.2975
S22 0.2115 0.8262 0.4229
S23 0.6832 0.5011 0.5027
S24 0.8168 0.0011 0.9973
K1 0.5341 0.7330 0.6208
K2 0.8287 0.2339 0.2041
K3 0.3287 0.2661 0.7041
K4 0.9659 0.2330 0.8792
K5 0.0341 0.7670 0.1208
K6 0.1713 0.7661 0.7959
K7 0.4659 0.2670 0.3792
K8 0.6713 0.7339 0.2959
Au1 0.1314 0.4090 0.1448
Au2 0.8686 0.5910 0.8552
Au3 0.8357 0.9169 0.8195
Au4 0.3357 0.5831 0.3195
Au5 0.6314 0.0910 0.6448
Au6 0.6643 0.4169 0.6805
Au7 0.3686 0.9090 0.3552
Au8 0.1643 0.0831 0.1805

## Properties
The value obtained for the formation energy from raw total energies is -610 meV per atom. For the total energy, the calculation gives -214.48 eV for the cell shown.

---

[11]
The following is a PBEsol calculation of KZn2GeAu after structural relaxation, from Alexandria via LeMat-Bulk.

a b c (Å): 4.9228 4.9228 5.0632
angles (deg): 90.00 90.00 90.00
Sites, in units of the cell vectors:
Zn1 0.5000 0.0000 0.0000
Zn2 0.0000 0.5000 0.0000
Ge1 0.0000 0.0000 0.5000
Au1 0.0000 0.0000 0.0000
K1 0.5000 0.5000 0.5000

## Properties
For the total energy, the calculation gives -12.41 eV for the cell shown. Its formation energy is 0.75 eV/f.u.

---

[12]
The following is a PBEsol calculation of La2Ge2Au after structural relaxation, from Alexandria via LeMat-Bulk.

a b c (Å): 4.5214 7.2281 7.2281
angles (deg): 90.00 90.00 90.00
Sites, in units of the cell vectors:
Ge1 0.0000 0.1266 0.3734
Ge2 0.0000 0.8734 0.6266
Ge3 0.0000 0.6266 0.1266
Ge4 0.0000 0.3734 0.8734
Au1 0.0000 0.5000 0.5000
Au2 0.0000 0.0000 0.0000
La1 0.5000 0.6753 0.8247
La2 0.5000 0.8247 0.3247
La3 0.5000 0.3247 0.1753
La4 0.5000 0.1753 0.6753

## Properties
For the total energy, the calculation gives -56.96 eV for the cell shown. Its formation energy is -3.99 eV/f.u.

---

[13]
The following is a PBEsol calculation of LaGeMoAu2 after structural relaxation, from Alexandria via LeMat-Bulk.

a b c (Å): 5.3450 5.3450 5.4752
angles (deg): 90.00 90.00 90.00
Sites, in units of the cell vectors:
Au1 0.5000 0.0000 0.0000
Au2 0.0000 0.5000 0.0000
La1 0.0000 0.0000 0.0000
Ge1 0.0000 0.0000 0.5000
Mo1 0.5000 0.5000 0.5000

## Properties
For the total energy, the calculation gives -22.05 eV for the cell shown. Its formation energy is 7.85 eV/f.u.

---

[14]
The following is a PBEsol calculation of LaZnGeAu2 after structural relaxation, from Alexandria via LeMat-Bulk.

a b c (Å): 5.3757 5.3757 5.5122
angles (deg): 90.00 90.00 90.00
Sites, in units of the cell vectors:
Ge1 0.5000 0.5000 0.5000
Zn1 0.0000 0.0000 0.5000
Au1 0.0000 0.5000 0.0000
Au2 0.5000 0.0000 0.0000
La1 0.0000 0.0000 0.0000

## Properties
For the total energy, the calculation gives -14.87 eV for the cell shown. Its formation energy is 4.84 eV/f.u.

---

[15]
The following is a PBEsol calculation of LaZr2GeAu after structural relaxation, from Alexandria via LeMat-Bulk.

a b c (Å): 5.1142 5.1142 5.5936
angles (deg): 90.00 90.00 90.00
Sites, in units of the cell vectors:
Zr1 0.0000 0.5000 0.0000
Zr2 0.5000 0.0000 0.0000
La1 0.0000 0.0000 0.5000
Au1 0.0000 0.0000 0.0000
Ge1 0.5000 0.5000 0.5000

## Properties
For the total energy, the calculation gives -30.37 eV for the cell shown. Its formation energy is 2.02 eV/f.u.

---

[16]
The following is a PBEsol calculation of Li2GeAu2 after structural relaxation, from Alexandria via LeMat-Bulk.

a b c (Å): 3.0329 7.1448 7.1448
angles (deg): 90.00 90.00 90.00
Sites, in units of the cell vectors:
Au1 0.0000 0.3566 0.8566
Au2 0.0000 0.8566 0.6434
Au3 0.0000 0.6434 0.1434
Au4 0.0000 0.1434 0.3566
Ge1 0.0000 0.0000 0.0000
Ge2 0.0000 0.5000 0.5000
Li1 0.5000 0.8446 0.3446
Li2 0.5000 0.3446 0.1554
Li3 0.5000 0.6554 0.8446
Li4 0.5000 0.1554 0.6554

## Properties
For the total energy, the calculation gives -36.96 eV for the cell shown. Its formation energy is -1.76 eV/f.u.

---

[17]
The following is a PBEsol calculation of LuGeAu after structural relaxation, from Alexandria via LeMat-Bulk.

a b c (Å): 4.3723 4.3723 7.0084
angles (deg): 90.00 90.00 120.00
Sites, in units of the cell vectors:
Lu1 0.0000 0.0000 0.5033
Lu2 0.0000 0.0000 0.0033
Ge1 0.6667 0.3333 0.7105
Ge2 0.3333 0.6667 0.2105
Au1 0.3333 0.6667 0.8035
Au2 0.6667 0.3333 0.3035

## Properties
For the total energy, the calculation gives -32.55 eV for the cell shown. Its formation energy is -2.54 eV/f.u.

---

[18]
The following is a PBEsol calculation of MgGeAu3 after structural relaxation, from Alexandria via LeMat-Bulk.

a b c (Å): 4.7993 4.7993 4.7993
angles (deg): 90.00 90.00 90.00
Sites, in units of the cell vectors:
Mg1 0.5000 0.5000 0.5000
Au1 0.0000 0.0000 0.5000
Au2 0.0000 0.5000 0.0000
Au3 0.5000 0.0000 0.0000
Ge1 0.0000 0.0000 0.0000

## Properties
For the total energy, the calculation gives -17.42 eV for the cell shown. Its formation energy is 1.01 eV/f.u.

---

[19]
The following is a PBEsol calculation of MnGeAu3 after structural relaxation, from Alexandria via LeMat-Bulk.

a b c (Å): 4.7917 4.7917 4.7917
angles (deg): 90.00 90.00 90.00
Sites, in units of the cell vectors:
Au1 0.0000 0.5000 0.0000
Au2 0.5000 0.0000 0.0000
Au3 0.0000 0.0000 0.5000
Ge1 0.5000 0.5000 0.5000
Mn1 0.0000 0.0000 0.0000

## Properties
For the total energy, the calculation gives -22.03 eV for the cell shown. Its formation energy is 4.44 eV/f.u.

---

[20]
The following is a PBEsol calculation of MnGePt2Au after structural relaxation, from Alexandria via LeMat-Bulk.

a b c (Å): 4.4117 4.5163 4.5163
angles (deg): 90.00 90.00 90.00
Sites, in units of the cell vectors:
Au1 0.5000 0.5000 0.5000
Pt1 0.0000 0.5000 0.0000
Pt2 0.0000 0.0000 0.5000
Mn1 0.0000 0.0000 0.0000
Ge1 0.5000 0.0000 0.0000

## Properties
For the total energy, the calculation gives -28.14 eV for the cell shown. Its formation energy is 4.41 eV/f.u.